[1]
! CaPr3Mg3 (GGA-PBE, relaxed); values from VASP
! M_tot ... 0.00 μB/f.u.
! Raw total energy ... -0.216 Ry/atom
&SYSTEM
  ibrav = 0, nat = 14, ntyp = 3
/
ATOMIC_SPECIES
Ca 40.08 Ca.upf
Pr 140.91 Pr.upf
Mg 24.30 Mg.upf
CELL_PARAMETERS angstrom
5.753 -4.713 0.000
5.753 4.713 0.000
-1.288 0.000 8.413
ATOMIC_POSITIONS angstrom
Ca 2.023 0.000 3.474
Ca 8.197 0.000 4.938
Pr 5.753 3.095 0.000
Pr 5.110 1.873 4.206
Pr 4.871 0.000 1.315
Pr 5.348 0.000 7.097
Pr 5.110 -1.873 4.206
Pr 5.753 -3.095 0.000
Mg -0.294 0.000 5.772
Mg 2.001 1.642 6.795
Mg 2.001 -1.642 6.795
Mg 8.219 1.642 1.618
Mg 8.219 -1.642 1.618
Mg 10.513 0.000 2.641

---

[2]
! TlP2Ru (GGA-PBE, relaxed); values from VASP
! M_tot ... 0.00 μB/f.u.
! Raw total energy ... -0.399 Ry/atom
! Energy above the most stable polymorph in this dataset ... 228.7 meV per atom
&SYSTEM
  ibrav = 0, nat = 4, ntyp = 3
/
ATOMIC_SPECIES
Tl 204.38 Tl.upf
P 30.97 P.upf
Ru 101.07 Ru.upf
CELL_PARAMETERS angstrom
3.060 0.000 0.000
0.000 3.060 0.000
0.000 0.000 7.985
ATOMIC_POSITIONS angstrom
Tl 0.000 0.000 0.000
P 0.000 0.000 4.439
P 1.530 1.530 3.097
Ru 1.530 1.530 5.524